A plane-wave DFT calculation with GGA-PBE was carried out for crystalline AlZnTc at its relaxed geometry.

Values from the calculation:
- E (hartree per atom) = -0.194
- relative energy among the computed polymorphs (eV per atom) = 0.029
- total moment (μB/cell) = 0.00
- space-group type = P-6m2 (187)
- DOS(E_F) (states/eV/f.u.) = 1.71
- ΔE_f (eV/atom) = -0.143

```
AlZnTc
1.0
-2.076 3.163 2.013
-1.894 -3.808 -0.531
1.011 -0.830 2.347
Al Zn Tc
1 1 1
Direct
0.667 0.333 0.500
0.000 0.000 0.500
0.333 0.667 0.000
```